1.
CdIn GGA-PBE relaxed; SG = Fddd (70); energy relative to the elements = 0.077 eV/atom
1.0
8.3629 0.0000 0.0000
0.0000 8.6586 0.0000
0.0000 0.0000 11.7387
Cd In
16 16
Direct
0.8209 0.0000 0.0000
0.6791 0.0000 0.5000
0.5709 0.7500 0.7500
0.3209 0.0000 0.5000
0.8209 0.5000 0.5000
0.9291 0.2500 0.2500
0.6791 0.5000 0.0000
0.3209 0.5000 0.0000
0.4291 0.7500 0.2500
0.0709 0.7500 0.2500
0.0709 0.2500 0.7500
0.9291 0.7500 0.7500
0.1791 0.0000 0.0000
0.5709 0.2500 0.2500
0.1791 0.5000 0.5000
0.4291 0.2500 0.7500
0.2500 0.9334 0.7500
0.2500 0.4334 0.2500
0.7500 0.5666 0.2500
0.7500 0.4334 0.7500
0.5000 0.6834 0.5000
0.0000 0.6834 0.0000
0.2500 0.5666 0.7500
0.7500 0.9334 0.2500
0.0000 0.8166 0.5000
0.5000 0.3166 0.5000
0.0000 0.1834 0.5000
0.7500 0.0666 0.7500
0.0000 0.3166 0.0000
0.2500 0.0666 0.2500
0.5000 0.1834 0.0000
0.5000 0.8166 0.0000



2.
Dy2SiF GGA-PBE relaxed; SG = R-3m (166); energy relative to the elements, uncorrected = -1.587 eV per atom
1.0
4.3201 0.0000 0.0000
2.1600 3.7413 0.0000
2.1600 1.2471 7.1430
Dy Si F
2 1 1
Direct
0.8973 0.8973 0.3082
0.1027 0.1027 0.6918
0.5000 0.5000 0.5000
0.0000 0.0000 0.0000



3.
ScFe6 GGA-PBE relaxed; SG = Im-3m (229); energy relative to the elements = 0.721 eV/atom
1.0
5.1566 0.0000 0.0000
-1.7189 4.8617 0.0000
-1.7189 -2.4308 4.2103
Fe Sc
6 1
Direct
0.5000 0.7500 0.2500
0.2500 0.5000 0.7500
0.5000 0.2500 0.7500
0.2500 0.7500 0.5000
0.7500 0.5000 0.2500
0.7500 0.2500 0.5000
0.0000 0.0000 0.0000



4.
LiZr2HPb GGA-PBE relaxed; SG = P4/mmm (123)
1.0
-1.4782 -1.5355 3.7881
-3.5734 -1.4702 -1.9903
2.0791 -3.9720 -0.7988
Zr H Li Pb
2 1 1 1
Direct
0.0000 0.5000 0.0000
0.5000 0.0000 0.0000
0.0000 0.0000 0.0000
0.0000 0.0000 0.5000
0.5000 0.5000 0.5000



5.
Cs2CuSnCl6 GGA-PBE relaxed; SG = I4/mmm (139); energy relative to the elements, uncorrected = -1.309 eV per atom
1.0
7.3552 0.0000 0.0000
0.0000 7.3552 0.0000
3.6776 3.6776 5.2915
Cs Cl Cu Sn
2 6 1 1
Direct
0.7500 0.2500 0.5000
0.2500 0.7500 0.5000
0.2611 0.7389 0.0000
0.7389 0.2611 0.0000
0.7389 0.7389 0.0000
0.2611 0.2611 0.0000
0.2558 0.2558 0.4884
0.7442 0.7442 0.5116
0.5000 0.5000 0.0000
0.0000 0.0000 0.0000



6.
CaEuCdP GGA-PBE relaxed; SG = F-43m (216); energy relative to the elements = -0.542 eV/atom
1.0
5.2499 0.0000 0.0000
2.6249 4.5465 0.0000
2.6249 1.5155 4.2865
Cd P Ca Eu
1 1 1 1
Direct
0.2500 0.2500 0.2500
0.7500 0.7500 0.7500
0.5000 0.5000 0.5000
0.0000 0.0000 0.0000



7.
Zr4HPt2 GGA-PBE relaxed; SG = I4/mmm (139); excess energy over the best structure of this formula in the dataset = 0 kJ/mol of formula units
1.0
4.1720 0.0000 0.0000
0.0000 4.1720 0.0000
2.0860 2.0860 7.3089
Pt Zr H
2 4 1
Direct
0.6407 0.6407 0.7186
0.3593 0.3593 0.2814
0.5000 0.0000 0.0000
0.8171 0.8171 0.3658
0.1829 0.1829 0.6342
0.0000 0.5000 0.0000
0.0000 0.0000 0.0000



8.
CeSbI6 GGA-PBE relaxed; SG = C2/m (12); energy relative to the elements, uncorrected = -0.787 eV per atom
1.0
1.2890 7.4847 -0.7952
3.0985 -2.4709 -7.0283
-7.9197 0.3334 1.5066
I Ce Sb
6 1 1
Direct
0.2561 0.1091 0.4104
0.7439 0.5896 0.8909
0.2561 0.4104 0.1091
0.2557 0.7503 0.7503
0.7439 0.8909 0.5896
0.7443 0.2497 0.2497
0.0000 0.0000 0.0000
0.5000 0.5000 0.5000



| no. | E (eV for the cell shown) | D(E_F) (states/eV/f.u.) |
| --- | --- | --- |
| 1 | -55.99 | 0.96 |
| 2 | -22.85 | 2.52 |
| 3 | -52.06 | 9.31 |
| 4 | -27.52 | 3.10 |
| 5 | -33.97 | 1.93 |
| 6 | -20.77 | 3.05 |
| 7 | -54.08 | 5.70 |
| 8 | -25.65 | 7.07 |